# Nd3Zn7Ag2

A geometry-optimized Nd3Zn7Ag2 structure (PBE-GGA, Alexandria via LeMat-Bulk).

calculated formation energy: -0.279 eV/atom
ρ: 7.680 Mg/m³
density of states at the Fermi level: 8.143 states/eV/f.u.

a b c (Å): 9.518 9.518 9.518
angles (deg): 33.91 33.91 33.91
Positions (direct):
Nd (0.000, 0.000, 0.000)
Nd (0.142, 0.142, 0.142)
Nd (0.858, 0.858, 0.858)
Zn (0.080, 0.585, 0.585)
Zn (0.415, 0.415, 0.920)
Zn (0.415, 0.920, 0.415)
Zn (0.500, 0.500, 0.500)
Zn (0.585, 0.080, 0.585)
Zn (0.585, 0.585, 0.080)
Zn (0.920, 0.415, 0.415)
Ag (0.335, 0.335, 0.335)
Ag (0.665, 0.665, 0.665)